[1]
Compound: Pr8Bi3Te4Se
Source: Alexandria
Functional: PBE
Structure: relaxed

The structure in POSCAR format:
```
Pr8Bi3Te4Se
1.0
-1.7849 -8.9026 0.4978
2.6311 -0.0407 8.7059
-6.4474 5.7817 -2.7735
Pr Bi Te Se
8 3 4 1
Cartesian
-4.9288 3.6167 3.7861
-1.5749 0.6082 5.2299
-3.0125 0.6552 0.9155
-5.8577 -1.0163 4.0452
0.2565 -2.1453 2.3850
-2.5886 -3.8168 5.5147
-4.0262 -3.7698 1.2003
-0.6723 -6.7784 2.6441
0.4231 -4.4716 4.6018
-2.8006 -1.5808 3.2151
-1.9081 2.8705 2.9662
-0.8924 -4.4513 0.2489
-4.1161 -1.5605 -1.1379
0.0000 0.0000 0.0000
-3.2237 2.8908 -1.3867
1.3156 -0.0204 4.3529
```

Results
SG: R-3m (166)


[2]
Compound: Pr8Bi4Te3Se
Source: Alexandria
Functional: PBE
Structure: relaxed

The structure in POSCAR format:
```
Pr8Bi4Te3Se
1.0
9.1449 0.0000 0.0000
0.0000 9.0987 -0.0367
-4.5724 -4.5675 6.4683
Pr Bi Te Se
8 4 3 1
Cartesian
2.2292 6.7719 -0.0236
0.0000 4.5458 3.1328
0.0000 -0.0126 3.2220
6.9156 6.7719 -0.0236
-2.3432 -2.2406 6.4551
4.5724 4.5439 3.2096
4.5724 -0.0145 3.2988
2.3432 -2.2406 6.4551
4.5724 0.0000 0.0000
2.2862 -2.2837 3.2341
0.0000 0.0000 0.0000
-2.2862 -2.2837 3.2341
4.5724 4.5494 -0.0184
2.2862 2.2656 3.2158
-2.2862 2.2656 3.2158
0.0000 4.5494 -0.0184
```

Results
SG: R-3m (166)


The following total energy values (in eV for the cell shown) correspond, in order, to the records above: -87.0; -86.7.